# 1
DFT (GGA-PBE) results for crystalline ZrZn2Cu at its relaxed geometry.

Cell lengths 2.949, 3.164, 6.850 Å; angles 90.00, 90.00, 90.00 degrees
Fractional coordinates of all 4 atoms:
Zr: 0.000 0.000 0.000
Zn: 0.000 0.000 0.474
Zn: 0.500 0.500 0.709
Cu: 0.500 0.500 0.272

Values from the calculation:
space group	Pmm2
N(E_F)	0.497	states/eV/atom
formation enthalpy at 0 K	-0.138	eV per atom

=====

# 2
DFT (GGA-PBE) results for crystalline ZrZn11Cu at its relaxed geometry.

Cell lengths 6.667, 6.667, 6.657 Å; angles 98.63, 98.63, 134.36 degrees
Fractional coordinates of all 13 atoms:
Zr: 0.000 0.000 0.000
Zn: 0.000 0.000 0.500
Zn: 0.000 0.500 0.000
Zn: 0.012 0.359 0.353
Zn: 0.291 0.503 0.785
Zn: 0.359 0.012 0.353
Zn: 0.497 0.709 0.215
Zn: 0.500 0.000 0.000
Zn: 0.503 0.291 0.785
Zn: 0.641 0.988 0.647
Zn: 0.709 0.497 0.215
Zn: 0.988 0.641 0.647
Cu: 0.500 0.500 0.500

Values from the calculation:
space group	C2/m
N(E_F)	0.179	states/eV/atom
formation enthalpy at 0 K	-0.135	eV per atom

=====

# 3
DFT (GGA-PBE) results for crystalline Zr2ZnCu4 at its relaxed geometry.

Cell lengths 4.869, 4.869, 5.392 Å; angles 90.14, 90.14, 61.11 degrees
Fractional coordinates of all 7 atoms:
Zr: 0.000 0.000 0.242
Zr: 0.000 0.000 0.758
Zn: 0.500 0.500 0.500
Cu: 0.000 0.500 0.500
Cu: 0.331 0.331 0.001
Cu: 0.500 0.000 0.500
Cu: 0.669 0.669 0.999

Values from the calculation:
space group	C2/m
N(E_F)	0.428	states/eV/atom
formation enthalpy at 0 K	0.040	eV per atom

=====

# 4
DFT (GGA-PBE) results for crystalline ZrZn4Cu2 at its relaxed geometry.

Cell lengths 5.204, 5.204, 4.905 Å; angles 117.95, 117.95, 77.43 degrees
Fractional coordinates of all 7 atoms:
Zr: 0.000 0.000 0.000
Zn: 0.000 0.392 0.695
Zn: 0.000 0.608 0.305
Zn: 0.392 0.000 0.695
Zn: 0.608 0.000 0.305
Cu: 0.499 0.499 0.249
Cu: 0.501 0.501 0.751

Values from the calculation:
space group	C2/m
N(E_F)	0.571	states/eV/atom
formation enthalpy at 0 K	-0.130	eV per atom